# InHgPb | the Alexandria database | SCAN | single point on PBEsol structure
# Size of the total moment   0.00 μB per formula unit
# DFT formation energy   53 meV/atom
# E above lowest polymorph   17.7 meV per atom
data_InHgPb
_cell_length_a 3.3689
_cell_length_b 3.3689
_cell_length_c 13.5860
_cell_angle_alpha 90.00
_cell_angle_beta 90.00
_cell_angle_gamma 90.00
_symmetry_space_group_name_H-M 'I 4 m m'
_symmetry_Int_Tables_number 107
_symmetry_space_group_name_Hall 'I 4 -2'
loop_
_atom_site_label
_atom_site_type_symbol
_atom_site_fract_x
_atom_site_fract_y
_atom_site_fract_z
In1 In 0.0000 0.0000 0.0000
Hg1 Hg 0.0000 0.0000 0.3495
Pb1 Pb 0.0000 0.0000 0.6809